# 1
MgTaTi: relaxed, PBE.

a = 3.299 Å, b = 3.294 Å, c = 11.200 Å
α = 107.09°, β = 89.99°, γ = 90.00°
Element x y z (fractional)
Mg (0.268, 0.870, 0.669)
Mg (0.768, 0.182, 0.481)
Ta (0.268, 0.199, 0.999)
Ta (0.768, 0.852, 0.152)
Ti (0.768, 0.556, 0.855)
Ti (0.268, 0.495, 0.296)

Summary:
crystal system = monoclinic
energy above the most stable polymorph in this dataset = 0.000 eV per atom

=====

# 2
MgTa3Ti: relaxed, PBE.

a = 4.748 Å, b = 4.748 Å, c = 4.748 Å
α = 90.00°, β = 90.00°, γ = 90.00°
Element x y z (fractional)
Mg (0.500, 0.500, 0.500)
Ti (0.000, 0.000, 0.000)
Ta (0.000, 0.500, 0.000)
Ta (0.000, 0.000, 0.500)
Ta (0.500, 0.000, 0.000)

Summary:
crystal system = cubic
energy above the most stable polymorph in this dataset = 0.000 eV per atom

=====

# 3
MgTaTi2: relaxed, PBE.

a = 3.303 Å, b = 3.303 Å, c = 6.854 Å
α = 90.00°, β = 90.00°, γ = 90.00°
Element x y z (fractional)
Mg (0.500, 0.500, 0.500)
Ti (0.000, 0.000, 0.780)
Ti (0.000, 0.000, 0.220)
Ta (0.500, 0.500, 0.000)

Summary:
crystal system = tetragonal

=====

# 4
MgTa2Ti: relaxed, PBE.

a = 3.949 Å, b = 3.949 Å, c = 10.350 Å
α = 79.00°, β = 79.00°, γ = 90.00°
Element x y z (fractional)
Mg (0.500, 0.500, 0.000)
Mg (0.250, 0.750, 0.500)
Ti (0.000, 0.000, 0.000)
Ti (0.750, 0.250, 0.500)
Ta (0.635, 0.125, 0.250)
Ta (0.115, 0.625, 0.250)
Ta (0.375, 0.365, 0.750)
Ta (0.875, 0.885, 0.750)

Summary:
crystal system = tetragonal

=====

# 5
MgTaTi3: relaxed, PBE.

a = 4.662 Å, b = 4.662 Å, c = 4.662 Å
α = 90.00°, β = 90.00°, γ = 90.00°
Site moments in Bohr magnetons follow the coordinates.
Element x y z (fractional)
Mg (0.000, 0.000, 0.000)  0.05
Ti (0.000, 0.500, 0.000)  0.41
Ti (0.000, 0.000, 0.500)  0.36
Ti (0.500, 0.000, 0.000)  0.62
Ta (0.500, 0.500, 0.500)  0.27

Summary:
crystal system = cubic
energy above the most stable polymorph in this dataset = 0.542 eV per atom

=====

# 6
MgZr2TaTi: relaxed, PBE.

a = 4.993 Å, b = 4.637 Å, c = 4.993 Å
α = 90.00°, β = 90.00°, γ = 90.00°
Site moments in Bohr magnetons follow the coordinates.
Element x y z (fractional)
Mg (0.000, 0.000, 0.000)  0.00
Ti (0.000, 0.500, 0.000)  0.69
Zr (0.000, 0.000, 0.500)  -0.17
Zr (0.500, 0.000, 0.000)  -0.15
Ta (0.500, 0.500, 0.500)  -0.29

Summary:
crystal system = tetragonal

=====

Looking at Fermi-level density of states for the records above, in order, we have 5.22, 4.95, 5.54, 4.81, 7.77, 11.00 states/eV per cell.
Looking at formation enthalpy at 0 K for the records above, in order, we have 57, 1307, 96, 633, 1475, 1445 meV per atom.
Looking at raw total energy for the records above, in order, we have -7.057, -7.702, -7.214, -7.666, -5.952, -6.243 eV per atom.